! BeAgHg2 | the Alexandria database | GGA-PBEsol | optimized geometry; values from VASP
&SYSTEM
  ibrav = 0, nat = 4, ntyp = 3
/
ATOMIC_SPECIES
Be 9.01 Be.upf
Ag 107.87 Ag.upf
Hg 200.59 Hg.upf
CELL_PARAMETERS angstrom
4.403 0.000 0.000
0.000 4.403 0.000
0.000 0.000 3.540
ATOMIC_POSITIONS angstrom
Be 0.000 0.000 0.000
Ag 2.201 2.201 0.000
Hg 0.000 2.201 1.770
Hg 2.201 0.000 1.770
! Space-group type: No. 123
! Magnetization: 0.0000 μB/atom
! Electronic total energy: -1.809 eV per atom